1.
# LiZrTe4

LiZrTe4 after structural relaxation (GGA-PBEsol, Alexandria via LeMat-Bulk).

The structure in CIF format:
```
data_LiZrTe4
_chemical_formula_sum 'Li4 Zr4 Te16'
_space_group_name_H-M_alt 'F -4 3 m'
_space_group_IT_number 216
_space_group_name_Hall 'F -4 2 3'
_cell_length_a 8.790
_cell_length_b 8.790
_cell_length_c 8.790
_cell_angle_alpha 90.00
_cell_angle_beta 90.00
_cell_angle_gamma 90.00
loop_
_atom_site_label
_atom_site_type_symbol
_atom_site_fract_x
_atom_site_fract_y
_atom_site_fract_z
_atom_site_occupancy
Li1 Li 0.000 0.000 0.000 1
Zr1 Zr 0.250 0.250 0.750 1
Te1 Te 0.125 0.125 0.375 1
```

---

2.
# LiPbN

LiPbN after structural relaxation (GGA-PBEsol, Alexandria via LeMat-Bulk).

The structure in CIF format:
```
data_LiPbN
_chemical_formula_sum 'Li1 Pb1 N1'
_space_group_name_H-M_alt 'P -6 m 2'
_space_group_IT_number 187
_space_group_name_Hall 'P -6 2'
_cell_length_a 3.6056
_cell_length_b 3.6056
_cell_length_c 4.4207
_cell_angle_alpha 90.00
_cell_angle_beta 90.00
_cell_angle_gamma 120.00
loop_
_atom_site_label
_atom_site_type_symbol
_atom_site_fract_x
_atom_site_fract_y
_atom_site_fract_z
_atom_site_occupancy
Li1 Li 0.0000 0.0000 0.0000 1
Pb1 Pb 0.3333 0.6667 0.5000 1
N1 N 0.3333 0.6667 0.0000 1
```

---

3.
# TcWI3

TcWI3 after structural relaxation (GGA-PBEsol, Alexandria via LeMat-Bulk).

The structure in CIF format:
```
data_TcWI3
_chemical_formula_sum 'Tc1 W1 I3'
_space_group_name_H-M_alt 'P m -3 m'
_space_group_IT_number 221
_space_group_name_Hall '-P 4 2 3'
_cell_length_a 5.291
_cell_length_b 5.291
_cell_length_c 5.291
_cell_angle_alpha 90.00
_cell_angle_beta 90.00
_cell_angle_gamma 90.00
loop_
_atom_site_label
_atom_site_type_symbol
_atom_site_fract_x
_atom_site_fract_y
_atom_site_fract_z
_atom_site_occupancy
Tc1 Tc 0.000 0.000 0.000 1
W1 W 0.500 0.500 0.500 1
I1 I 0.000 0.000 0.500 1
```

---

4.
# MgInFeHg2

MgInFeHg2 after structural relaxation (GGA-PBEsol, Alexandria via LeMat-Bulk).

Properties
Energy of formation   0.370 eV/atom

The structure in CIF format:
```
data_MgInFeHg2
_chemical_formula_sum 'Mg1 In1 Fe1 Hg2'
_space_group_name_H-M_alt 'P 4/m m m'
_space_group_IT_number 123
_space_group_name_Hall '-P 4 2'
_cell_length_a 4.988
_cell_length_b 4.988
_cell_length_c 4.889
_cell_angle_alpha 90.00
_cell_angle_beta 90.00
_cell_angle_gamma 90.00
loop_
_atom_site_label
_atom_site_type_symbol
_atom_site_fract_x
_atom_site_fract_y
_atom_site_fract_z
_atom_site_occupancy
Mg1 Mg 0.000 0.000 0.000 1
In1 In 0.500 0.500 0.000 1
Fe1 Fe 0.500 0.500 0.500 1
Hg1 Hg 0.000 0.500 0.500 1
```

---

How do the records compare in DFT total energy? In the order shown, they have -22.6 -13.7 -22.1 -12.9 eV/f.u..